VASP calculation (PBE) on YScBi2 after structural relaxation.

Summary:
- SG = R-3m (166)
- E above lowest polymorph (eV per formula unit) = 0.00
- energy of formation (eV/atom) = -0.774
- VASP energy (eV per atom) = -5.913
- volume (Å³ per cell) = 118.45

Lattice parameters (Å, degrees): 4.3745 4.3745 7.5805 73.23 73.23 60.00
Positions (direct):
1 Y 0.5000 0.5000 0.5000
2 Sc 0.0000 0.0000 0.0000
3 Bi 0.7449 0.7449 0.7653
4 Bi 0.2551 0.2551 0.2347



VASP calculation (PBE) on YScBi after structural relaxation.

Summary:
- SG = P3m1 (156)
- energy of formation (eV/atom) = -0.293
- VASP energy (eV per atom) = -5.851
- volume (Å³ per cell) = 84.88

Lattice parameters (Å, degrees): 3.9099 5.0067 5.0067 120.00 90.00 90.00
Positions (direct):
1 Y 0.6404 0.6667 0.3333
2 Sc 0.1149 0.0000 0.0000
3 Bi 0.2447 0.3333 0.6667



VASP calculation (PBE) on YSc2Bi after structural relaxation.

Summary:
- SG = I-42d (122)
- energy of formation (eV/atom) = 0.012
- VASP energy (eV per atom) = -5.740
- volume (Å³ per cell) = 234.11

Lattice parameters (Å, degrees): 8.6233 8.6233 6.8624 51.08 51.08 90.00
Positions (direct):
1 Y 0.5000 0.5000 0.0000
2 Y 0.2500 0.7500 0.5000
3 Sc 0.6607 0.1250 0.2500
4 Sc 0.0893 0.6250 0.2500
5 Sc 0.3750 0.3393 0.7500
6 Sc 0.8750 0.9107 0.7500
7 Bi 0.0000 0.0000 0.0000
8 Bi 0.7500 0.2500 0.5000



VASP calculation (PBE) on YZrSc2Bi after structural relaxation.

Summary:
- SG = P4/mmm (123)
- energy of formation (eV/atom) = 0.396
- VASP energy (eV per atom) = -5.915
- volume (Å³ per cell) = 148.10

Lattice parameters (Å, degrees): 5.1152 5.6600 5.1152 90.00 90.00 90.00
Positions (direct):
1 Y 0.5000 0.5000 0.5000
2 Sc 0.0000 0.0000 0.5000
3 Sc 0.5000 0.0000 0.0000
4 Bi 0.0000 0.5000 0.0000
5 Zr 0.0000 0.0000 0.0000



VASP calculation (PBE) on Y2ZrScBi4 after structural relaxation.

Summary:
- SG = P2/m (10)
- energy of formation (eV/atom) = -0.662
- VASP energy (eV per atom) = -6.078
- volume (Å³ per cell) = 234.97

Lattice parameters (Å, degrees): 4.3580 7.5506 7.5663 109.31 90.00 90.00
Positions (direct):
1 Y 0.5000 0.0000 0.5000
2 Y 0.0000 0.5000 0.5000
3 Zr 0.0000 0.0000 0.0000
4 Sc 0.5000 0.5000 0.0000
5 Bi 0.5000 0.2466 0.2363
6 Bi 0.5000 0.7534 0.7637
7 Bi 0.0000 0.2557 0.7648
8 Bi 0.0000 0.7443 0.2352



VASP calculation (PBE) on ScZn2Bi2 after structural relaxation.

Summary:
- SG = P4/mbm (127)
- E above lowest polymorph (eV per formula unit) = 0.62
- energy of formation (eV/atom) = 0.050
- VASP energy (eV per atom) = -3.278
- volume (Å³ per cell) = 245.49

Lattice parameters (Å, degrees): 7.9069 7.9069 3.9266 90.00 90.00 90.00
Positions (direct):
1 Sc 0.0000 0.0000 0.0000
2 Sc 0.5000 0.5000 0.0000
3 Zn 0.1437 0.6437 0.5000
4 Zn 0.6437 0.8563 0.5000
5 Zn 0.8563 0.3563 0.5000
6 Zn 0.3563 0.1437 0.5000
7 Bi 0.3426 0.8426 0.0000
8 Bi 0.8426 0.6574 0.0000
9 Bi 0.6574 0.1574 0.0000
10 Bi 0.1574 0.3426 0.0000



VASP calculation (PBE) on Sc2Zn2Bi after structural relaxation.

Summary:
- SG = I4/mmm (139)
- E above lowest polymorph (eV per formula unit) = 0.81
- energy of formation (eV/atom) = -0.168
- VASP energy (eV per atom) = -3.986
- volume (Å³ per cell) = 112.01

Lattice parameters (Å, degrees): 3.6760 3.6760 8.6871 77.79 77.79 90.00
Positions (direct):
1 Sc 0.3905 0.3905 0.2189
2 Sc 0.6095 0.6095 0.7811
3 Zn 0.7500 0.2500 0.5000
4 Zn 0.2500 0.7500 0.5000
5 Bi 0.0000 0.0000 0.0000



VASP calculation (PBE) on ScZnBi3 after structural relaxation.

Summary:
- SG = Pm-3m (221)
- E above lowest polymorph (eV per formula unit) = 0.54
- energy of formation (eV/atom) = 0.399
- VASP energy (eV per atom) = -3.451
- volume (Å³ per cell) = 154.98

Lattice parameters (Å, degrees): 5.3714 5.3714 5.3714 90.00 90.00 90.00
Positions (direct):
1 Sc 0.5000 0.5000 0.5000
2 Zn 0.0000 0.0000 0.0000
3 Bi 0.0000 0.5000 0.0000
4 Bi 0.0000 0.0000 0.5000
5 Bi 0.5000 0.0000 0.0000



VASP calculation (PBE) on Sc5ZnBi after structural relaxation.

Summary:
- SG = C2/c (15)
- energy of formation (eV/atom) = -0.103
- VASP energy (eV per atom) = -5.362
- volume (Å³ per cell) = 336.67

Lattice parameters (Å, degrees): 6.0811 6.0811 10.7343 78.23 78.23 60.80
Positions (direct):
1 Sc 0.9086 0.6289 0.1465
2 Sc 0.2279 0.4865 0.5574
3 Sc 0.6289 0.9086 0.6465
4 Sc 0.8920 0.1080 0.2500
5 Sc 0.5135 0.7721 0.9426
6 Sc 0.4865 0.2279 0.0574
7 Sc 0.1080 0.8920 0.7500
8 Sc 0.3711 0.0914 0.3535
9 Sc 0.7721 0.5135 0.4426
10 Sc 0.0914 0.3711 0.8535
11 Zn 0.0000 0.0000 0.0000
12 Zn 0.0000 0.0000 0.5000
13 Bi 0.3913 0.6087 0.2500
14 Bi 0.6087 0.3913 0.7500



VASP calculation (PBE) on Sc4ZnBi after structural relaxation.

Summary:
- SG = C2/c (15)
- energy of formation (eV/atom) = -0.137
- VASP energy (eV per atom) = -5.217
- volume (Å³ per cell) = 295.07

Lattice parameters (Å, degrees): 5.7686 6.8723 8.1228 100.67 110.80 90.00
Positions (direct):
1 Sc 0.5312 0.0674 0.8450
2 Sc 0.6862 0.4326 0.1550
3 Sc 0.4688 0.9326 0.1550
4 Sc 0.3138 0.5674 0.8450
5 Sc 0.9594 0.8803 0.6757
6 Sc 0.2837 0.6197 0.3243
7 Sc 0.0406 0.1197 0.3243
8 Sc 0.7163 0.3803 0.6757
9 Zn 0.5000 0.0000 0.5000
10 Zn 0.0000 0.5000 0.5000
11 Bi 0.8763 0.7500 0.0000
12 Bi 0.1237 0.2500 0.0000



VASP calculation (PBE) on ScZn4Bi after structural relaxation.

Summary:
- SG = F-43m (216)
- energy of formation (eV/atom) = -0.062
- VASP energy (eV per atom) = -2.614
- volume (Å³ per cell) = 113.69

Lattice parameters (Å, degrees): 5.4377 5.4377 5.4377 60.00 60.00 60.00
Positions (direct):
1 Sc 0.2500 0.2500 0.2500
2 Zn 0.6233 0.6233 0.1301
3 Zn 0.6233 0.1301 0.6233
4 Zn 0.6233 0.6233 0.6233
5 Zn 0.1301 0.6233 0.6233
6 Bi 0.0000 0.0000 0.0000



VASP calculation (PBE) on ScZn2Bi after structural relaxation.

Summary:
- SG = I-42d (122)
- energy of formation (eV/atom) = -0.030
- VASP energy (eV per atom) = -3.221
- volume (Å³ per cell) = 182.27

Lattice parameters (Å, degrees): 7.9707 7.9707 6.3243 50.94 50.94 90.00
Positions (direct):
1 Sc 0.5000 0.5000 0.0000
2 Sc 0.2500 0.7500 0.5000
3 Zn 0.6279 0.1250 0.2500
4 Zn 0.1221 0.6250 0.2500
5 Zn 0.3750 0.3721 0.7500
6 Zn 0.8750 0.8779 0.7500
7 Bi 0.0000 0.0000 0.0000
8 Bi 0.7500 0.2500 0.5000



Q: Look up the volume of the seventh one.
A: 112.01 Å³ per cell